Version P
# Nd2YPb3

Nd2YPb3 after structural relaxation (PBE, Alexandria via LeMat-Bulk).

a = 5.933 Å, b = 8.740 Å, c = 8.740 Å
α = 113.84°, β = 103.84°, γ = 103.84°
Fractional positions:
1 Nd 0.250 0.918 0.082
2 Nd 0.250 0.248 0.752
3 Nd 0.750 0.082 0.918
4 Nd 0.750 0.752 0.248
5 Y 0.250 0.584 0.416
6 Y 0.750 0.416 0.584
7 Pb 0.994 0.175 0.337
8 Pb 0.494 0.337 0.175
9 Pb 0.000 0.500 0.000
10 Pb 0.006 0.825 0.663
11 Pb 0.500 0.000 0.500
12 Pb 0.506 0.663 0.825

Computed properties:
**Crystal system**: monoclinic
**Size of the total moment**: 0.00 Bohr magnetons per cell


Version Q
# Nd2YPb3

Nd2YPb3 after structural relaxation (PBE, Alexandria via LeMat-Bulk).

a = 5.032 Å, b = 8.075 Å, c = 9.149 Å
α = 90.00°, β = 90.00°, γ = 72.32°
Fractional positions:
1 Nd 0.000 0.000 0.000
2 Nd 0.000 0.000 0.500
3 Nd 0.333 0.333 0.500
4 Nd 0.667 0.667 0.500
5 Y 0.332 0.336 0.000
6 Y 0.668 0.664 0.000
7 Pb 0.832 0.336 0.755
8 Pb 0.500 0.000 0.246
9 Pb 0.168 0.664 0.245
10 Pb 0.832 0.336 0.245
11 Pb 0.168 0.664 0.755
12 Pb 0.500 0.000 0.754

Computed properties:
**Crystal system**: monoclinic
**Size of the total moment**: 0.03 Bohr magnetons per cell


It is version Q that is the most stable of them.


Version P
# Nd2YPb2

Nd2YPb2 after structural relaxation (PBE, Alexandria via LeMat-Bulk).

a = 4.582 Å, b = 8.304 Å, c = 8.304 Å
α = 90.00°, β = 90.00°, γ = 90.00°
Fractional positions:
1 Nd 0.500 0.168 0.668
2 Nd 0.500 0.668 0.832
3 Nd 0.500 0.832 0.332
4 Nd 0.500 0.332 0.168
5 Y 0.000 0.000 0.000
6 Y 0.000 0.500 0.500
7 Pb 0.000 0.364 0.864
8 Pb 0.000 0.864 0.636
9 Pb 0.000 0.636 0.136
10 Pb 0.000 0.136 0.364

Computed properties:
**Crystal system**: tetragonal
**Size of the total moment**: 0.00 Bohr magnetons per cell


Version Q
# Nd2YPb2

Nd2YPb2 after structural relaxation (PBE, Alexandria via LeMat-Bulk).

a = 7.265 Å, b = 9.006 Å, c = 10.217 Å
α = 90.00°, β = 90.00°, γ = 90.00°
Fractional positions:
1 Nd 0.500 0.250 0.091
2 Nd 0.000 0.250 0.091
3 Nd 0.000 0.750 0.909
4 Nd 0.500 0.750 0.909
5 Nd 0.000 0.750 0.320
6 Nd 0.500 0.750 0.320
7 Nd 0.500 0.250 0.680
8 Nd 0.000 0.250 0.680
9 Y 0.251 0.409 0.388
10 Y 0.749 0.591 0.612
11 Y 0.751 0.091 0.388
12 Y 0.249 0.909 0.612
13 Pb 0.750 0.944 0.114
14 Pb 0.250 0.556 0.114
15 Pb 0.750 0.444 0.886
16 Pb 0.250 0.056 0.886
17 Pb 0.750 0.427 0.346
18 Pb 0.250 0.073 0.346
19 Pb 0.750 0.927 0.654
20 Pb 0.250 0.573 0.654

Computed properties:
**Crystal system**: monoclinic
**Size of the total moment**: 0.00 Bohr magnetons per cell


It is version P that is the most stable of them.


Version P
# Nd2YPb

Nd2YPb after structural relaxation (PBE, Alexandria via LeMat-Bulk).

a = 3.610 Å, b = 3.610 Å, c = 12.525 Å
α = 81.71°, β = 81.71°, γ = 60.00°
Fractional positions:
1 Pb 0.000 0.000 0.000
2 Y 0.500 0.500 0.500
3 Nd 0.088 0.088 0.736
4 Nd 0.912 0.912 0.264

Computed properties:
**Crystal system**: trigonal
**Size of the total moment**: 0.00 Bohr magnetons per cell


Version Q
# Nd2YPb

Nd2YPb after structural relaxation (PBE, Alexandria via LeMat-Bulk).

a = 5.067 Å, b = 4.906 Å, c = 4.906 Å
α = 90.00°, β = 90.00°, γ = 90.00°
Fractional positions:
1 Pb 0.500 0.500 0.500
2 Y 0.500 0.000 0.000
3 Nd 0.000 0.000 0.500
4 Nd 0.000 0.500 0.000

Computed properties:
**Crystal system**: tetragonal
**Size of the total moment**: 0.00 Bohr magnetons per cell


Version R
# Nd2YPb

Nd2YPb after structural relaxation (PBE, Alexandria via LeMat-Bulk).

a = 3.680 Å, b = 3.680 Å, c = 11.490 Å
α = 80.79°, β = 80.79°, γ = 59.99°
Fractional positions:
1 Nd 0.081 0.081 0.758
2 Nd 0.253 0.253 0.242
3 Y 0.500 0.500 0.500
4 Pb 0.666 0.666 0.001

Computed properties:
**Crystal system**: trigonal
**Size of the total moment**: 0.28 Bohr magnetons per cell


It is version Q that is the most stable of them.


Version P
# NdZn2Pb

NdZn2Pb after structural relaxation (PBE, Alexandria via LeMat-Bulk).

a = 4.560 Å, b = 4.529 Å, c = 4.529 Å
α = 90.00°, β = 90.00°, γ = 90.00°
Fractional positions:
1 Pb 0.500 0.000 0.000
2 Zn 0.000 0.000 0.500
3 Zn 0.000 0.500 0.000
4 Nd 0.500 0.500 0.500

Computed properties:
**Crystal system**: tetragonal
**Size of the total moment**: 0.00 Bohr magnetons per cell


Version Q
# NdZn2Pb

NdZn2Pb after structural relaxation (PBE, Alexandria via LeMat-Bulk).

a = 4.642 Å, b = 4.642 Å, c = 5.846 Å
α = 66.61°, β = 66.61°, γ = 60.00°
Fractional positions:
1 Pb 0.500 0.500 0.500
2 Zn 0.765 0.765 0.706
3 Zn 0.235 0.235 0.294
4 Nd 0.000 0.000 0.000

Computed properties:
**Crystal system**: trigonal
**Size of the total moment**: 0.00 Bohr magnetons per cell


It is version P that is the most stable of them.


Version P
# Pm3NdPd

Pm3NdPd after structural relaxation (PBE, Alexandria via LeMat-Bulk).

a = 5.625 Å, b = 5.625 Å, c = 5.625 Å
α = 90.00°, β = 90.00°, γ = 90.00°
Fractional positions:
1 Nd 0.500 0.500 0.500
2 Pd 0.000 0.000 0.000
3 Pm 0.000 0.500 0.000
4 Pm 0.000 0.000 0.500
5 Pm 0.500 0.000 0.000

Computed properties:
**Crystal system**: cubic
**Size of the total moment**: 0.01 Bohr magnetons per cell


Version Q
# Pm3NdPd

Pm3NdPd after structural relaxation (PBE, Alexandria via LeMat-Bulk).

a = 7.525 Å, b = 7.525 Å, c = 7.534 Å
α = 107.82°, β = 112.24°, γ = 108.34°
Fractional positions:
1 Pm 0.840 0.049 0.280
2 Pm 0.231 0.440 0.280
3 Pm 0.769 0.560 0.720
4 Pm 0.717 0.447 0.164
5 Pm 0.160 0.951 0.720
6 Pm 0.283 0.553 0.836
7 Nd 0.713 0.057 0.770
8 Nd 0.287 0.943 0.230
9 Pd 0.627 0.750 0.377
10 Pd 0.373 0.250 0.623

Computed properties:
**Crystal system**: monoclinic
**Size of the total moment**: 0.00 Bohr magnetons per cell


Version R
# Pm3NdPd

Pm3NdPd after structural relaxation (PBE, Alexandria via LeMat-Bulk).

a = 3.853 Å, b = 6.496 Å, c = 12.966 Å
α = 83.62°, β = 81.46°, γ = 72.75°
Fractional positions:
1 Pm 0.453 0.945 0.148
2 Pm 0.758 0.725 0.760
3 Pm 0.112 0.161 0.615
4 Pm 0.989 0.114 0.909
5 Pm 0.791 0.035 0.383
6 Pm 0.421 0.631 0.527
7 Nd 0.100 0.504 0.295
8 Nd 0.223 0.557 0.998
9 Pd 0.761 0.334 0.144
10 Pd 0.453 0.330 0.763

Computed properties:
**Crystal system**: monoclinic
**Size of the total moment**: 0.00 Bohr magnetons per cell


It is version R that is the most stable of them.


Version P
# PmNdPd3

PmNdPd3 after structural relaxation (PBE, Alexandria via LeMat-Bulk).

a = 4.386 Å, b = 3.867 Å, c = 13.772 Å
α = 98.07°, β = 90.00°, γ = 90.00°
Fractional positions:
1 Pm 0.250 0.796 0.592
2 Pm 0.750 0.204 0.408
3 Nd 0.250 0.071 0.142
4 Nd 0.750 0.929 0.858
5 Pd 0.250 0.377 0.755
6 Pd 0.750 0.623 0.245
7 Pd 0.250 0.473 0.947
8 Pd 0.750 0.527 0.053
9 Pd 0.750 0.316 0.632
10 Pd 0.250 0.684 0.368

Computed properties:
**Crystal system**: orthorhombic
**Size of the total moment**: 0.00 Bohr magnetons per cell


Version Q
# PmNdPd3

PmNdPd3 after structural relaxation (PBE, Alexandria via LeMat-Bulk).

a = 6.989 Å, b = 7.989 Å, c = 8.019 Å
α = 90.00°, β = 90.00°, γ = 90.00°
Fractional positions:
1 Pm 0.283 0.136 0.500
2 Pm 0.717 0.864 0.500
3 Pm 0.783 0.364 0.000
4 Pm 0.217 0.636 0.000
5 Nd 0.218 0.636 0.500
6 Nd 0.282 0.136 0.000
7 Nd 0.782 0.364 0.500
8 Nd 0.718 0.864 0.000
9 Pd 0.616 0.144 0.250
10 Pd 0.116 0.356 0.750
11 Pd 0.500 0.500 0.247
12 Pd 0.000 0.000 0.253
13 Pd 0.500 0.500 0.753
14 Pd 0.384 0.856 0.750
15 Pd 0.384 0.856 0.250
16 Pd 0.616 0.144 0.750
17 Pd 0.884 0.644 0.250
18 Pd 0.000 0.000 0.747
19 Pd 0.884 0.644 0.750
20 Pd 0.116 0.356 0.250

Computed properties:
**Crystal system**: orthorhombic
**Size of the total moment**: 0.00 Bohr magnetons per cell


It is version Q that is the most stable of them.


Version P
# PmNdPdRh

PmNdPdRh after structural relaxation (PBE, Alexandria via LeMat-Bulk).

a = 5.045 Å, b = 5.045 Å, c = 5.045 Å
α = 60.00°, β = 60.00°, γ = 60.00°
Fractional positions:
1 Rh 0.500 0.500 0.500
2 Nd 0.750 0.750 0.750
3 Pd 0.000 0.000 0.000
4 Pm 0.250 0.250 0.250

Computed properties:
**Crystal system**: cubic
**Size of the total moment**: 0.00 Bohr magnetons per cell


Version Q
# PmNdPdRh

PmNdPdRh after structural relaxation (PBE, Alexandria via LeMat-Bulk).

a = 3.863 Å, b = 4.507 Å, c = 5.742 Å
α = 90.00°, β = 109.66°, γ = 90.00°
Fractional positions:
1 Pm 0.864 0.500 0.728
2 Nd 0.141 0.000 0.282
3 Pd 0.584 0.500 0.169
4 Rh 0.410 0.000 0.821

Computed properties:
**Crystal system**: orthorhombic
**Size of the total moment**: 0.00 Bohr magnetons per cell


It is version Q that is the most stable of them.


Version P
# PmNdZnPd

PmNdZnPd after structural relaxation (PBE, Alexandria via LeMat-Bulk).

a = 5.154 Å, b = 5.154 Å, c = 5.154 Å
α = 60.00°, β = 60.00°, γ = 60.00°
Fractional positions:
1 Zn 0.500 0.500 0.500
2 Nd 0.250 0.250 0.250
3 Pd 0.000 0.000 0.000
4 Pm 0.750 0.750 0.750

Computed properties:
**Crystal system**: cubic
**Size of the total moment**: 0.00 Bohr magnetons per cell


Version Q
# PmNdZnPd

PmNdZnPd after structural relaxation (PBE, Alexandria via LeMat-Bulk).

a = 3.933 Å, b = 4.589 Å, c = 5.884 Å
α = 90.00°, β = 109.53°, γ = 90.00°
Fractional positions:
1 Pm 0.858 0.500 0.717
2 Nd 0.140 0.000 0.279
3 Zn 0.573 0.500 0.146
4 Pd 0.429 0.000 0.857

Computed properties:
**Crystal system**: orthorhombic
**Size of the total moment**: 0.00 Bohr magnetons per cell


It is version Q that is the most stable of them.


Version P
# PrNdPd3

PrNdPd3 after structural relaxation (PBE, Alexandria via LeMat-Bulk).

a = 7.035 Å, b = 8.010 Å, c = 8.085 Å
α = 90.00°, β = 90.00°, γ = 90.00°
Fractional positions:
1 Pr 0.282 0.137 0.500
2 Pr 0.718 0.863 0.500
3 Pr 0.782 0.363 0.000
4 Pr 0.218 0.637 0.000
5 Nd 0.217 0.636 0.500
6 Nd 0.283 0.136 0.000
7 Nd 0.783 0.364 0.500
8 Nd 0.717 0.864 0.000
9 Pd 0.616 0.143 0.250
10 Pd 0.116 0.357 0.750
11 Pd 0.500 0.500 0.253
12 Pd 0.000 0.000 0.247
13 Pd 0.500 0.500 0.747
14 Pd 0.384 0.857 0.750
15 Pd 0.384 0.857 0.250
16 Pd 0.616 0.143 0.750
17 Pd 0.884 0.643 0.250
18 Pd 0.000 0.000 0.753
19 Pd 0.884 0.643 0.750
20 Pd 0.116 0.357 0.250

Computed properties:
**Crystal system**: orthorhombic
**Size of the total moment**: 0.00 Bohr magnetons per cell


Version Q
# PrNdPd3

PrNdPd3 after structural relaxation (PBE, Alexandria via LeMat-Bulk).

a = 4.411 Å, b = 3.892 Å, c = 13.850 Å
α = 98.08°, β = 90.00°, γ = 90.00°
Fractional positions:
1 Pr 0.250 0.797 0.594
2 Pr 0.750 0.203 0.406
3 Nd 0.250 0.070 0.141
4 Nd 0.750 0.930 0.859
5 Pd 0.250 0.379 0.758
6 Pd 0.750 0.621 0.242
7 Pd 0.250 0.474 0.948
8 Pd 0.750 0.526 0.052
9 Pd 0.750 0.318 0.635
10 Pd 0.250 0.682 0.365

Computed properties:
**Crystal system**: orthorhombic
**Size of the total moment**: 0.00 Bohr magnetons per cell


It is version P that is the most stable of them.


Version P
# PrNdPd

PrNdPd after structural relaxation (PBE, Alexandria via LeMat-Bulk).

a = 3.703 Å, b = 3.703 Å, c = 6.743 Å
α = 105.94°, β = 105.94°, γ = 90.00°
Fractional positions:
1 Pr 0.307 0.307 0.615
2 Nd 0.029 0.029 0.057
3 Pd 0.664 0.664 0.328

Computed properties:
**Crystal system**: tetragonal
**Size of the total moment**: 0.86 Bohr magnetons per cell


Version Q
# PrNdPd

PrNdPd after structural relaxation (PBE, Alexandria via LeMat-Bulk).

a = 4.037 Å, b = 4.874 Å, c = 4.874 Å
α = 120.00°, β = 90.00°, γ = 90.00°
Fractional positions:
1 Pr 0.048 0.000 0.000
2 Nd 0.610 0.667 0.333
3 Pd 0.342 0.333 0.667

Computed properties:
**Crystal system**: trigonal
**Size of the total moment**: 0.00 Bohr magnetons per cell


It is version P that is the most stable of them.


Version P
# Pr2NdPd2

Pr2NdPd2 after structural relaxation (PBE, Alexandria via LeMat-Bulk).

a = 4.050 Å, b = 8.121 Å, c = 8.121 Å
α = 90.00°, β = 90.00°, γ = 90.00°
Fractional positions:
1 Pr 0.000 0.668 0.332
2 Pr 0.000 0.832 0.832
3 Pr 0.000 0.168 0.168
4 Pr 0.000 0.332 0.668
5 Nd 0.500 0.500 0.000
6 Nd 0.500 0.000 0.500
7 Pd 0.500 0.374 0.374
8 Pd 0.500 0.874 0.126
9 Pd 0.500 0.126 0.874
10 Pd 0.500 0.626 0.626

Computed properties:
**Crystal system**: tetragonal
**Size of the total moment**: 0.00 Bohr magnetons per cell


Version Q
# Pr2NdPd2

Pr2NdPd2 after structural relaxation (PBE, Alexandria via LeMat-Bulk).

a = 6.350 Å, b = 6.350 Å, c = 6.867 Å
α = 122.73°, β = 122.73°, γ = 101.96°
Fractional positions:
1 Pr 0.192 0.808 0.500
2 Pr 0.808 0.192 0.500
3 Nd 0.000 0.000 0.000
4 Pd 0.500 0.500 0.203
5 Pd 0.500 0.500 0.797

Computed properties:
**Crystal system**: orthorhombic
**Size of the total moment**: 0.00 Bohr magnetons per cell


It is version P that is the most stable of them.